1.
Entry from OQMD via LeMat-Bulk: crystalline AlCoPd at its relaxed geometry (PBE).

Lattice parameters (Å, degrees): 5.6431 5.6431 5.6431 90.00 90.00 90.00
With the nearest neighbours (Å) after each atom.
Space group F-43m (No. 216)
Asymmetric unit:
Al (0.0000, 0.0000, 0.0000)  4 Co 2.44, 4 Pd 2.44
Co (0.2500, 0.2500, 0.7500)  4 Al 2.44
Pd (0.2500, 0.2500, 0.2500)  4 Al 2.44

DFT total energy in eV/atom: -5.4590

---

2.
Entry from OQMD via LeMat-Bulk: crystalline Al2CoPd2 at its relaxed geometry (PBE).

Lattice parameters (Å, degrees): 3.7438 3.7438 11.4275 90.00 90.00 90.00
With the nearest neighbours (Å) after each atom.
Space group I4/mmm (No. 139)
Asymmetric unit:
Al (0.0000, 0.5000, 0.2500)  4 Pd 2.46, 4 Al 2.65
Co (0.0000, 0.0000, 0.0000)  8 Pd 2.93
Pd (0.0000, 0.0000, 0.3893)  4 Al 2.46, 1 Pd 2.53

DFT total energy in eV/atom: -5.0914

---

3.
Entry from OQMD via LeMat-Bulk: crystalline AlCoRePd at its relaxed geometry (PBE).

Lattice parameters (Å, degrees): 6.0614 6.0614 6.0614 90.00 90.00 90.00
With the nearest neighbours (Å) after each atom.
Space group F-43m (No. 216)
Asymmetric unit:
Al (0.0000, 0.0000, 0.0000)  4 Co 2.62, 4 Pd 2.62
Co (0.2500, 0.2500, 0.2500)  4 Re 2.62, 4 Al 2.62
Re (0.0000, 0.0000, 0.5000)  4 Co 2.62, 4 Pd 2.62
Pd (0.2500, 0.2500, 0.7500)  4 Re 2.62, 4 Al 2.62

Energy relative to the lowest polymorph listed for this composition in eV/atom: 0.0000

---

4.
Entry from OQMD via LeMat-Bulk: crystalline SrAl5CoPd at its relaxed geometry (PBE).

Lattice parameters (Å, degrees): 4.0431 7.2723 9.9729 90.00 90.00 90.00
With the nearest neighbours (Å) after each atom.
Space group Imm2 (No. 44)
Asymmetric unit:
Sr (0.0000, 0.0000, 0.0000)  2 Co 3.33, 2 Pd 3.33, 14 Al 3.36-3.72
Al (0.0000, 0.1806, 0.3359)  2 Co 2.51, 1 Pd 2.53, 1 Al 2.63
Al (0.0000, 0.1997, 0.6563)  1 Co 2.44, 2 Pd 2.61
Al (0.0000, 0.5000, 0.9922)  1 Co 2.26, 1 Pd 2.42
Co (0.0000, 0.5000, 0.7652)  7 Al 2.26-2.51
Pd (0.0000, 0.5000, 0.2344)  7 Al 2.42-2.61

DFT total energy in eV/atom: -4.5898

---

5.
Entry from OQMD via LeMat-Bulk: crystalline YAlCoPd at its relaxed geometry (PBE).

Lattice parameters (Å, degrees): 6.4682 6.4682 6.4682 90.00 90.00 90.00
With the nearest neighbours (Å) after each atom.
Space group F-43m (No. 216)
Asymmetric unit:
Y (0.0000, 0.0000, 0.0000)  4 Pd 2.80, 4 Co 2.80
Al (0.0000, 0.0000, 0.5000)  4 Co 2.80, 4 Pd 2.80
Co (0.2500, 0.2500, 0.7500)  4 Al 2.80, 4 Y 2.80
Pd (0.2500, 0.2500, 0.2500)  4 Al 2.80, 4 Y 2.80

Energy relative to the lowest polymorph listed for this composition in eV/atom: 0.0000

---

6.
Entry from OQMD via LeMat-Bulk: crystalline YAlCoPd at its relaxed geometry (PBE).

Lattice parameters (Å, degrees): 6.5510 6.5510 6.5510 90.00 90.00 90.00
With the nearest neighbours (Å) after each atom.
Space group F-43m (No. 216)
Asymmetric unit:
Y (0.0000, 0.0000, 0.0000)  4 Pd 2.84, 4 Al 2.84
Al (0.2500, 0.2500, 0.2500)  4 Y 2.84, 4 Co 2.84
Co (0.0000, 0.0000, 0.5000)  4 Al 2.84, 4 Pd 2.84
Pd (0.2500, 0.2500, 0.7500)  4 Co 2.84, 4 Y 2.84

Energy relative to the lowest polymorph listed for this composition in eV/atom: 0.3624

---

7.
Entry from OQMD via LeMat-Bulk: crystalline ZrAlCoPd at its relaxed geometry (PBE).

Lattice parameters (Å, degrees): 6.2918 6.2918 6.2918 90.00 90.00 90.00
With the nearest neighbours (Å) after each atom.
Space group F-43m (No. 216)
Asymmetric unit:
Zr (0.0000, 0.0000, 0.0000)  4 Pd 2.72, 4 Co 2.72
Al (0.0000, 0.0000, 0.5000)  4 Co 2.72, 4 Pd 2.72
Co (0.2500, 0.2500, 0.7500)  4 Zr 2.72, 4 Al 2.72
Pd (0.2500, 0.2500, 0.2500)  4 Al 2.72, 4 Zr 2.72

Energy relative to the lowest polymorph listed for this composition in eV/atom: 0.0000

---

8.
Entry from OQMD via LeMat-Bulk: crystalline ZrAlCoPd at its relaxed geometry (PBE).

Lattice parameters (Å, degrees): 6.3444 6.3444 6.3444 90.00 90.00 90.00
With the nearest neighbours (Å) after each atom.
Space group F-43m (No. 216)
Asymmetric unit:
Zr (0.0000, 0.0000, 0.0000)  4 Pd 2.75, 4 Al 2.75
Al (0.2500, 0.2500, 0.2500)  4 Zr 2.75, 4 Co 2.75
Co (0.0000, 0.0000, 0.5000)  4 Al 2.75, 4 Pd 2.75
Pd (0.2500, 0.2500, 0.7500)  4 Zr 2.75, 4 Co 2.75

Energy relative to the lowest polymorph listed for this composition in eV/atom: 0.3526

---

9.
Entry from OQMD via LeMat-Bulk: crystalline Pr2Al8Co at its relaxed geometry (PBE).

Lattice parameters (Å, degrees): 4.3046 4.3046 11.4472 90.00 90.00 90.00
With the nearest neighbours (Å) after each atom.
Space group P4/mmm (No. 123)
Asymmetric unit:
Pr (0.0000, 0.0000, 0.1948)  12 Al 3.04-3.10
Al (0.0000, 0.5000, 0.0000)  8 Al 3.04-3.12, 4 Pr 3.10
Al (0.0000, 0.5000, 0.3875)  2 Co 2.51, 1 Al 2.58
Al (0.5000, 0.5000, 0.1969)  4 Pr 3.04, 8 Al 3.06-3.12
Co (0.0000, 0.0000, 0.5000)  8 Al 2.51

DFT total energy in eV/atom: -4.6231

---

10.
Entry from OQMD via LeMat-Bulk: crystalline PrAl4Co at its relaxed geometry (PBE).

Lattice parameters (Å, degrees): 7.6818 4.0369 6.9192 90.00 90.00 90.00
With the nearest neighbours (Å) after each atom.
Space group Pmma (No. 51)
Asymmetric unit:
Pr (0.2500, 0.0000, 0.1163)  1 Co 3.00, 12 Al 3.11-3.28
Al (0.0000, 0.0000, 0.5000)  2 Co 2.30
Al (0.0711, 0.5000, 0.7988)  2 Co 2.57, 2 Al 2.73-2.75
Al (0.2500, 0.5000, 0.4580)  2 Co 2.55, 6 Al 2.73-2.80
Co (0.2500, 0.0000, 0.6828)  8 Al 2.30-2.57

DFT total energy in eV/atom: -4.9868

---

11.
Entry from OQMD via LeMat-Bulk: crystalline PrAlCo at its relaxed geometry (PBE).

Lattice parameters (Å, degrees): 6.4070 6.4070 6.4070 90.00 90.00 90.00
With the nearest neighbours (Å) after each atom.
Space group F-43m (No. 216)
Asymmetric unit:
Pr (0.0000, 0.0000, 0.0000)  4 Al 2.77
Al (0.2500, 0.2500, 0.7500)  4 Co 2.77, 4 Pr 2.77
Co (0.0000, 0.0000, 0.5000)  4 Al 2.77

DFT total energy in eV/atom: -4.8113

---

12.
Entry from OQMD via LeMat-Bulk: crystalline Pr2Al2Co15 at its relaxed geometry (PBE).

Lattice parameters (Å, degrees): 8.3988 8.3988 12.2744 90.00 90.00 120.00
With the nearest neighbours (Å) after each atom.
Space group R-3m (No. 166, hexagonal axes)
Asymmetric unit:
Pr (0.0000, 0.0000, 0.1477)  15 Co 2.94-3.17, 1 Al 3.04
Al (0.0000, 0.0000, 0.3950)  12 Co 2.54-2.71, 1 Al 2.58
Co (0.0000, 0.2832, 0.5000)  8 Co 2.38-2.60
Co (0.0000, 0.5000, 0.0000)  8 Co 2.39-2.42, 2 Al 2.54
Co (0.0048, 0.5024, 0.3492)  8 Co 2.42-2.60, 1 Al 2.57

DFT total energy in eV/atom: -6.6187

---

13.
Entry from OQMD via LeMat-Bulk: crystalline PrAlCo at its relaxed geometry (PBE).

Lattice parameters (Å, degrees): 6.6715 6.6715 6.6715 90.00 90.00 90.00
With the nearest neighbours (Å) after each atom.
Space group F-43m (No. 216)
Asymmetric unit:
Pr (0.0000, 0.0000, 0.0000)  4 Co 2.89, 4 Al 2.89
Al (0.2500, 0.2500, 0.7500)  4 Pr 2.89
Co (0.2500, 0.2500, 0.2500)  4 Pr 2.89

DFT total energy in eV/atom: -4.4251

---

14.
Entry from OQMD via LeMat-Bulk: crystalline Pr2AlCo2 at its relaxed geometry (PBE).

Lattice parameters (Å, degrees): 4.0706 5.5814 8.8667 90.00 90.00 90.00
With the nearest neighbours (Å) after each atom.
Space group Immm (No. 71)
Asymmetric unit:
Pr (0.0000, 0.0000, 0.1991)  6 Co 2.98-3.07, 2 Al 3.30
Al (0.0000, 0.5000, 0.0000)  4 Co 2.54
Co (0.0000, 0.2709, 0.5000)  2 Al 2.54, 1 Co 2.56

DFT total energy in eV/atom: -5.7260